## one
Density functional theory data (PBE-GGA) for crystalline TbPmGaIr at its relaxed geometry.

Geometry as extended XYZ:
```
4
Lattice="-1.155 4.900 -0.020 -4.526 1.526 1.592 -0.427 2.503 4.347" Properties=species:S:1:pos:R:3 pbc="T T T"
Ir -3.054 4.465 2.959
Tb -1.527 2.232 1.480
Ga 0.000 0.000 0.000
Pm -4.581 6.697 4.439
```

Summary:
- symmetry = No. 216
- volume (Å³/atom) = 22.56

=====

## two
Density functional theory data (PBE-GGA) for crystalline TbPmGaIr at its relaxed geometry.

Geometry as extended XYZ:
```
4
Lattice="4.101 0.000 0.000 0.000 4.263 0.000 -2.050 0.000 5.411" Properties=species:S:1:pos:R:3 pbc="T T T"
Tb 2.050 2.132 3.921
Pm 0.000 0.000 1.565
Ga 2.050 2.132 0.724
Ir 0.000 0.000 4.612
```

Summary:
- symmetry = No. 38
- volume (Å³/atom) = 23.65

=====

Quick one: least stable of them? one

=====

## one
Density functional theory data (PBE-GGA) for crystalline PmThGaIr at its relaxed geometry.

Geometry as extended XYZ:
```
4
Lattice="4.191 0.000 0.000 0.000 4.003 0.000 -2.096 0.000 5.860" Properties=species:S:1:pos:R:3 pbc="T T T"
Pm 0.000 0.000 1.732
Th 2.096 2.002 4.351
Ga 2.096 2.002 0.840
Ir 0.000 0.000 4.796
```

Summary:
- symmetry = No. 38
- volume (Å³/atom) = 24.58

=====

## two
Density functional theory data (PBE-GGA) for crystalline PmThGaIr at its relaxed geometry.

Geometry as extended XYZ:
```
4
Lattice="-4.804 1.764 0.266 -3.671 -2.874 2.126 -1.994 1.330 4.529" Properties=species:S:1:pos:R:3 pbc="T T T"
Ir -7.852 0.165 5.191
Ga -2.617 0.055 1.730
Th 0.000 0.000 0.000
Pm -5.235 0.110 3.460
```

Summary:
- symmetry = No. 216
- volume (Å³/atom) = 23.79

=====

Quick one: least stable of them? two

=====

## one
Density functional theory data (PBE-GGA) for crystalline PmYGaIr at its relaxed geometry.

Geometry as extended XYZ:
```
4
Lattice="-1.430 3.615 1.221 -2.883 -1.987 2.510 4.240 -1.787 3.455" Properties=species:S:1:pos:R:3 pbc="T T T"
Pm 1.015 0.006 1.170
Y 0.392 0.829 4.805
Ga -1.686 0.817 2.408
Ir 3.016 0.018 3.478
```

Summary:
- symmetry = No. 38
- volume (Å³/atom) = 23.62

=====

## two
Density functional theory data (PBE-GGA) for crystalline PmYGaIr at its relaxed geometry.

Geometry as extended XYZ:
```
4
Lattice="-4.664 -0.136 1.877 -0.791 -1.760 4.645 -1.318 3.150 3.693" Properties=species:S:1:pos:R:3 pbc="T T T"
Y -5.080 0.940 7.660
Ir -3.387 0.627 5.107
Ga 0.000 0.000 0.000
Pm -1.693 0.313 2.553
```

Summary:
- symmetry = No. 216
- volume (Å³/atom) = 22.49

=====

Quick one: least stable of them? two

=====

## one
Density functional theory data (PBE-GGA) for crystalline Pr8Ga2Ir at its relaxed geometry.

Geometry as extended XYZ:
```
11
Lattice="-1.769 -3.426 3.774 -1.885 -4.601 -5.060 9.488 0.464 1.010" Properties=species:S:1:pos:R:3 pbc="T T T"
Pr -0.276 -6.022 -1.740
Pr 5.224 -3.710 -0.920
Pr 3.070 -1.418 0.151
Pr -0.470 -1.147 -1.262
Pr 2.764 -6.145 -0.427
Pr 0.610 -3.853 0.645
Pr 6.110 -1.541 1.465
Pr 6.304 -6.415 0.987
Ir -0.884 -1.713 1.887
Ga 1.885 -3.609 -2.393
Ga 3.949 -3.954 2.117
```

Summary:
- symmetry = No. 12
- volume (Å³/atom) = 29.41

=====

## two
Density functional theory data (PBE-GGA) for crystalline Pr8Ga2Ir at its relaxed geometry.

Geometry as extended XYZ:
```
11
Lattice="-1.387 -4.181 2.620 5.851 0.395 3.727 -5.317 7.304 3.827" Properties=species:S:1:pos:R:3 pbc="T T T"
Pr -1.685 4.479 6.256
Pr 3.149 -0.104 6.514
Pr -0.148 1.212 6.868
Pr -5.158 2.971 7.024
Pr -0.704 2.306 3.306
Pr -4.002 3.622 3.661
Pr 0.833 -0.962 3.919
Pr 4.305 0.546 3.151
Ga -2.945 1.273 5.486
Ga 2.093 2.244 4.689
Ir -0.694 -2.091 1.310
```

Summary:
- symmetry = No. 12
- volume (Å³/atom) = 29.97

=====

Quick one: least stable of them? one